--- w ---
Here is BeInSe3 after structural relaxation from Alexandria via LeMat-Bulk. Energies are from PBE.

Cell and atoms, written as extended XYZ:
```
5
Lattice="5.259 0.000 0.000 0.000 5.259 0.000 0.000 0.000 5.259" Properties=species:S:1:pos:R:3 pbc="T T T"
Se 0.000 0.000 2.629
Se 2.629 0.000 0.000
Se 0.000 2.629 0.000
Be 2.629 2.629 2.629
In 0.000 0.000 0.000
```

Computed properties:
Density, g cm⁻³: 4.1
Total moment, μB/f.u.: 0.0
Space group: Pm-3m

=====

--- x ---
Here is BeInSe3 after structural relaxation from Alexandria via LeMat-Bulk. Energies are from PBE.

Cell and atoms, written as extended XYZ:
```
5
Lattice="4.718 0.000 0.000 0.000 4.718 0.000 0.000 0.000 4.718" Properties=species:S:1:pos:R:3 pbc="T T T"
Se 0.000 0.000 2.359
Se 2.359 0.000 0.000
Se 0.000 2.359 0.000
In 2.359 2.359 2.359
Be 0.000 0.000 0.000
```

Computed properties:
Density, g cm⁻³: 5.7
Total moment, μB/f.u.: 0.0
Space group: Pm-3m

=====

x is preferred energetically. Next in line: 0.804 eV/atom higher.

=====

--- w ---
Here is Be3InSe after structural relaxation from Alexandria via LeMat-Bulk. Energies are from PBE.

Cell and atoms, written as extended XYZ:
```
5
Lattice="4.593 0.000 0.000 0.000 4.593 0.000 0.000 0.000 4.593" Properties=species:S:1:pos:R:3 pbc="T T T"
Be 2.297 0.000 0.000
Be 0.000 0.000 2.297
Be 0.000 2.297 0.000
Se 2.297 2.297 2.297
In 0.000 0.000 0.000
```

Computed properties:
Density, g cm⁻³: 3.8
Total moment, μB/f.u.: 0.0
Space group: Pm-3m

=====

--- x ---
Here is Be3InSe after structural relaxation from Alexandria via LeMat-Bulk. Energies are from PBE.

Cell and atoms, written as extended XYZ:
```
5
Lattice="-1.204 -2.238 3.616 4.193 -1.250 0.622 0.707 3.600 2.464" Properties=species:S:1:pos:R:3 pbc="T T T"
Se 0.000 0.000 0.000
Be 0.354 1.800 1.232
Be -0.602 -1.119 1.808
Be 2.096 -0.625 0.311
In 1.848 0.056 3.351
```

Computed properties:
Density, g cm⁻³: 4.2
Total moment, μB/f.u.: 0.0
Space group: Pm-3m

=====

x is preferred energetically. Next in line: 0.241 eV/atom higher.

=====

--- w ---
Here is Be2InSi after structural relaxation from Alexandria via LeMat-Bulk. Energies are from PBE.

Cell and atoms, written as extended XYZ:
```
4
Lattice="-2.697 -2.981 2.863 -2.553 -3.477 -2.397 4.676 1.576 -0.021" Properties=species:S:1:pos:R:3 pbc="T T T"
In -2.625 -3.229 0.233
Be 0.000 0.000 0.000
Be -0.251 -2.565 -1.092
Si -0.323 -2.317 1.537
```

Computed properties:
Density, g cm⁻³: 4.6
Total moment, μB/f.u.: 0.0
Space group: I-4m2

=====

--- x ---
Here is Be2InSi after structural relaxation from Alexandria via LeMat-Bulk. Energies are from PBE.

Cell and atoms, written as extended XYZ:
```
4
Lattice="7.555 -0.028 -0.017 6.944 2.976 -0.017 6.944 1.412 2.620" Properties=species:S:1:pos:R:3 pbc="T T T"
Be 0.244 0.050 0.029
Be 10.478 2.131 1.264
Si 16.083 3.270 1.940
In 5.361 1.090 0.647
```

Computed properties:
Density, g cm⁻³: 4.5
Total moment, μB/f.u.: 0.0
Space group: R-3m

=====

x is preferred energetically. Next in line: 0.150 eV/atom higher.

=====

--- w ---
Here is BeInSi2 after structural relaxation from Alexandria via LeMat-Bulk. Energies are from PBE.

Cell and atoms, written as extended XYZ:
```
4
Lattice="-1.351 5.479 1.175 -3.782 4.335 0.360 -1.703 0.660 4.156" Properties=species:S:1:pos:R:3 pbc="T T T"
Be -5.127 7.856 4.268
Si -1.870 1.099 4.038
Si -3.251 4.799 2.963
In -1.709 2.619 1.423
```

Computed properties:
Density, g cm⁻³: 4.6
Total moment, μB/f.u.: 0.0
Space group: C2/m

=====

--- x ---
Here is BeInSi2 after structural relaxation from Alexandria via LeMat-Bulk. Energies are from PBE.

Cell and atoms, written as extended XYZ:
```
4
Lattice="-1.421 1.700 -1.880 -2.060 0.482 1.992 4.018 6.274 2.637" Properties=species:S:1:pos:R:3 pbc="T T T"
Be -0.736 2.660 0.715
Si 1.705 2.663 1.119
Si 0.304 0.474 0.199
In 1.273 5.797 2.034
```

Computed properties:
Density, g cm⁻³: 4.5
Total moment, μB/f.u.: 0.0
Space group: P4/mmm

=====

--- y ---
Here is BeInSi2 after structural relaxation from Alexandria via LeMat-Bulk. Energies are from PBE.

Cell and atoms, written as extended XYZ:
```
4
Lattice="-8.555 1.002 3.650 -7.883 -1.598 4.777 -7.024 0.838 6.122" Properties=species:S:1:pos:R:3 pbc="T T T"
Be -5.866 0.060 3.637
Si -12.188 0.126 7.558
Si -23.006 0.237 14.266
In -17.597 0.181 10.912
```

Computed properties:
Density, g cm⁻³: 4.4
Total moment, μB/f.u.: 0.0
Space group: R-3m

=====

x is preferred energetically. Next in line: 0.023 eV/atom higher.